# KPuAgSe2 | the Alexandria database | PBE | optimized geometry
data_KPuAgSe2
_chemical_formula_sum 'K4 Pu4 Ag4 Se8'
_cell_length_a 6.102
_cell_length_b 15.298
_cell_length_c 6.337
_cell_angle_alpha 90.00
_cell_angle_beta 90.00
_cell_angle_gamma 90.00
_symmetry_space_group_name_H-M 'C m m e'
_symmetry_Int_Tables_number 67
_symmetry_space_group_name_Hall '-C 2a 2'
loop_
_atom_site_label
_atom_site_type_symbol
_atom_site_fract_x
_atom_site_fract_y
_atom_site_fract_z
K1 K 0.000 0.250 0.227
Pu1 Pu 0.250 0.000 0.500
Ag1 Ag 0.000 0.000 0.000
Se1 Se 0.000 0.127 0.740
# calculated total energy: -5.92 eV/atom
# M_tot: 6.00 μB per formula unit

---

# K2PuAgSe4 | the Alexandria database | PBE | optimized geometry
data_K2PuAgSe4
_chemical_formula_sum 'K2 Pu1 Ag1 Se4'
_cell_length_a 7.525
_cell_length_b 4.142
_cell_length_c 8.137
_cell_angle_alpha 90.00
_cell_angle_beta 111.67
_cell_angle_gamma 90.00
_symmetry_space_group_name_H-M 'P 1 2/m 1'
_symmetry_Int_Tables_number 10
_symmetry_space_group_name_Hall '-P 2y'
loop_
_atom_site_label
_atom_site_type_symbol
_atom_site_fract_x
_atom_site_fract_y
_atom_site_fract_z
K1 K 0.000 0.000 0.000
K2 K 0.500 0.500 0.000
Pu1 Pu 0.000 0.500 0.500
Ag1 Ag 0.500 0.000 0.500
Se1 Se 0.206 0.000 0.722
Se2 Se 0.275 0.500 0.329
# calculated total energy: -5.11 eV/atom
# M_tot: 3.81 μB per formula unit

---

# K3Pu3AgSe8 | the Alexandria database | PBE | optimized geometry
data_K3Pu3AgSe8
_chemical_formula_sum 'K9 Pu9 Ag3 Se24'
_cell_length_a 8.3159
_cell_length_b 8.3159
_cell_length_c 23.1589
_cell_angle_alpha 90.00
_cell_angle_beta 90.00
_cell_angle_gamma 120.00
_symmetry_space_group_name_H-M 'R -3 m'
_symmetry_Int_Tables_number 166
_symmetry_space_group_name_Hall '-R 3 2"'
loop_
_atom_site_label
_atom_site_type_symbol
_atom_site_fract_x
_atom_site_fract_y
_atom_site_fract_z
K1 K 0.0000 0.5000 0.0000
Pu1 Pu 0.0000 0.5000 0.5000
Ag1 Ag 0.0000 0.0000 0.5000
Se1 Se 0.0000 0.0000 0.2352
Se2 Se 0.0102 0.5051 0.7668
# calculated total energy: -6.30 eV/atom
# M_tot: 11.96 μB per formula unit

---

ΔE_f (raw)? In order: -0.87 -0.95 -1.16 eV/atom.
Calculated volume? In order: 591.5 235.7 1386.9 Å³/cell.